(1)
PmPaGe | Alexandria via LeMat-Bulk | PBE | relaxed; symmetry = No. 216; V = 27.99 A^3/atom; size of the total moment = 0.383 μB/atom; distance to the lowest polymorph of the same formula = 0 meV/atom
1.0
6.952 0.000 0.000
0.000 6.952 0.000
0.000 0.000 6.952
Pm Pa Ge
4 4 4
Direct
0.000 0.000 0.000
0.000 0.500 0.500
0.500 0.000 0.500
0.500 0.500 0.000
0.000 0.000 0.500
0.000 0.500 0.000
0.500 0.000 0.000
0.500 0.500 0.500
0.250 0.250 0.250
0.250 0.750 0.750
0.750 0.250 0.750
0.750 0.750 0.250

***

(2)
BaAlZnAu3 | Alexandria via LeMat-Bulk | PBE | relaxed; symmetry = No. 63; V = 25.00 A^3/atom; final energy = -3.251 eV per atom; size of the total moment = 0.000 μB/atom
1.0
3.452 -6.556 0.000
3.452 6.556 0.000
0.000 0.000 6.629
Ba Al Zn Au
2 2 2 6
Direct
0.225 0.775 0.750
0.775 0.225 0.250
0.490 0.510 0.250
0.510 0.490 0.750
0.104 0.896 0.250
0.896 0.104 0.750
0.218 0.218 0.000
0.218 0.218 0.500
0.298 0.702 0.250
0.702 0.298 0.750
0.782 0.782 0.000
0.782 0.782 0.500

***

(3)
Zn2FePtAu | Alexandria via LeMat-Bulk | PBE | relaxed; symmetry = No. 123; V = 18.89 A^3/atom; final energy = -3.243 eV per atom; size of the total moment = 0.474 μB/atom
1.0
4.475 0.000 0.000
0.000 4.475 0.000
0.000 0.000 4.716
Zn Fe Pt Au
2 1 1 1
Direct
0.000 0.500 0.000
0.500 0.000 0.000
0.000 0.000 0.000
0.500 0.500 0.500
0.000 0.000 0.500

***

(4)
Sc5Bi3 | Alexandria via LeMat-Bulk | PBE | relaxed; symmetry = No. 193; V = 24.56 A^3/atom; size of the total moment = 0.097 μB/atom; distance to the lowest polymorph of the same formula = 18 meV/atom
1.0
8.673 0.000 0.000
-4.337 7.511 0.000
0.000 0.000 6.033
Sc Bi
10 6
Direct
0.000 0.242 0.250
0.000 0.758 0.750
0.242 0.000 0.250
0.242 0.242 0.750
0.333 0.667 0.000
0.333 0.667 0.500
0.667 0.333 0.000
0.667 0.333 0.500
0.758 0.000 0.750
0.758 0.758 0.250
0.000 0.388 0.750
0.000 0.612 0.250
0.388 0.000 0.750
0.388 0.388 0.250
0.612 0.000 0.250
0.612 0.612 0.750

***

(5)
TbPrTm4 | Alexandria via LeMat-Bulk | PBE | relaxed; symmetry = No. 216; V = 33.38 A^3/atom; size of the total moment = 0.287 μB/atom; distance to the lowest polymorph of the same formula = 260 meV/atom
1.0
0.000 4.644 4.644
4.644 0.000 4.644
4.644 4.644 0.000
Tb Pr Tm
1 1 4
Direct
0.000 0.000 0.000
0.250 0.250 0.250
0.123 0.626 0.626
0.626 0.123 0.626
0.626 0.626 0.123
0.626 0.626 0.626